Below is an optimized crystal structure of Li4Fe5Sb3O16, with properties calculated at the PBE with a Hubbard U level.

**SG**: Cm (8)
**E_tot**: -6.137 eV/atom
**Volume**: 11.47 A^3/atom

Cell and atoms, written as POSCAR:
```
Li4Fe5Sb3O16
1.0
5.4083 -3.0363 0.0000
5.4083 3.0363 0.0000
-0.3454 0.0000 9.7750
Li Fe Sb O
4 5 3 16
direct
0.0000 0.0000 0.0000 Li
0.0208 0.0208 0.5183 Li
0.3287 0.3287 0.6160 Li
0.6802 0.6802 0.1033 Li
0.1756 0.1756 0.2888 Fe
0.3149 0.3149 0.9992 Fe
0.3363 0.8094 0.7942 Fe
0.6407 0.6407 0.5306 Fe
0.8094 0.3363 0.7942 Fe
0.1753 0.6692 0.2871 Sb
0.6692 0.1753 0.2871 Sb
0.8223 0.8223 0.7861 Sb
0.0445 0.5017 0.1644 O
0.1483 0.6618 0.9041 O
0.1552 0.1552 0.9115 O
0.3273 0.8302 0.4036 O
0.3501 0.3501 0.4017 O
0.4915 0.4915 0.1688 O
0.5017 0.0445 0.1644 O
0.5092 0.5092 0.6597 O
0.5136 0.9527 0.6602 O
0.6618 0.1483 0.9041 O
0.6719 0.6719 0.9003 O
0.8302 0.3273 0.4036 O
0.8549 0.8549 0.3994 O
0.9527 0.5136 0.6602 O
0.9846 0.9846 0.6975 O
0.9995 0.9995 0.1845 O
```